The following is a DFT calculation (PBE) of an optimized crystal structure of FeSnBr3.

Output
DOS(E_F): 8.2 states/eV/cell
calculated density: 5.1 g cm⁻³
uncorrected energy: -3.61 eV per atom
magnetic moment: 3.02 μB/f.u.

```
FeSnBr3
1.0
5.1367 0.0000 0.0000
0.0000 5.1367 0.0000
0.0000 0.0000 5.1367
Fe Sn Br
1 1 3
Direct
0.0000 0.0000 0.0000 Fe
0.5000 0.5000 0.5000 Sn
0.0000 0.0000 0.5000 Br
0.0000 0.5000 0.0000 Br
0.5000 0.0000 0.0000 Br
```